1.
The following is a PBE-GGA calculation of an optimized crystal structure of La2MnMoPd, from Alexandria via LeMat-Bulk.

Cell: 5.515 5.515 4.820 Å, 90.00 90.00 90.00°
Element x y z (fractional)
La: 0.000 0.500 0.000
La: 0.500 0.000 0.000
Mn: 0.000 0.000 0.500
Mo: 0.500 0.500 0.000
Pd: 0.500 0.500 0.500

Properties
Energy of formation: 0.642 eV per atom
Density of states at the Fermi level: 5.33 states/eV per cell

---

2.
The following is a PBE-GGA calculation of an optimized crystal structure of LaMnMoRu2, from Alexandria via LeMat-Bulk.

Cell: 4.497 4.497 4.862 Å, 90.00 90.00 90.00°
Element x y z (fractional)
La: 0.000 0.000 0.000
Mn: 0.000 0.000 0.500
Mo: 0.500 0.500 0.000
Ru: 0.000 0.500 0.500
Ru: 0.500 0.000 0.500

Properties
Energy of formation: 1.170 eV per atom
Density of states at the Fermi level: 6.23 states/eV per cell

---

3.
The following is a PBE-GGA calculation of an optimized crystal structure of LaMnSi2Mo, from Alexandria via LeMat-Bulk.

Cell: 6.248 6.248 6.248 Å, 142.03 142.03 54.78°
Element x y z (fractional)
La: 0.000 0.000 0.000
Mn: 0.750 0.250 0.500
Si: 0.382 0.382 0.000
Si: 0.618 0.618 0.000
Mo: 0.250 0.750 0.500

Properties
Density of states at the Fermi level: 3.04 states/eV per cell
Formation energy without anion corrections: -0.481 eV per atom

---

4.
The following is a PBE-GGA calculation of an optimized crystal structure of LaMn2ZnMo, from Alexandria via LeMat-Bulk.

Cell: 4.644 4.644 5.444 Å, 90.00 90.00 90.00°
Element x y z (fractional)
La: 0.000 0.000 0.000
Mn: 0.000 0.500 0.500
Mn: 0.500 0.000 0.500
Zn: 0.000 0.000 0.500
Mo: 0.500 0.500 0.000

Properties
Energy of formation: 1.184 eV per atom
Density of states at the Fermi level: 8.86 states/eV per cell

---

5.
The following is a PBE-GGA calculation of an optimized crystal structure of LaMnN, from Alexandria via LeMat-Bulk.

Cell: 6.182 3.090 10.523 Å, 90.00 90.00 90.00°
Element x y z (fractional)
La: 0.126 0.250 0.147
La: 0.374 0.750 0.647
La: 0.626 0.250 0.353
La: 0.874 0.750 0.853
Mn: 0.147 0.250 0.434
Mn: 0.353 0.750 0.934
Mn: 0.647 0.250 0.066
Mn: 0.853 0.750 0.566
N: 0.184 0.250 0.887
N: 0.316 0.750 0.387
N: 0.684 0.250 0.613
N: 0.816 0.750 0.113

Properties
Density of states at the Fermi level: 6.84 states/eV per cell
Formation energy without anion corrections: -0.445 eV per atom

---

6.
The following is a PBE-GGA calculation of an optimized crystal structure of LaMnN2, from Alexandria via LeMat-Bulk.

Cell: 5.539 5.539 6.425 Å, 90.00 90.00 120.00°
Element x y z (fractional)
La: 0.000 0.649 0.167
La: 0.351 0.351 0.500
La: 0.649 0.000 0.833
Mn: 0.000 0.582 0.667
Mn: 0.418 0.418 0.000
Mn: 0.582 0.000 0.333
N: 0.141 0.443 0.867
N: 0.302 0.859 0.533
N: 0.443 0.141 0.133
N: 0.557 0.698 0.200
N: 0.698 0.557 0.800
N: 0.859 0.302 0.467

Properties
Density of states at the Fermi level: 8.15 states/eV per cell
Formation energy without anion corrections: -0.907 eV per atom

---

7.
The following is a PBE-GGA calculation of an optimized crystal structure of La12Mn3N5, from Alexandria via LeMat-Bulk.

Cell: 14.117 14.117 14.117 Å, 109.47 109.47 109.47°
Element x y z (fractional)
La: 0.016 0.200 0.113
La: 0.016 0.316 0.903
La: 0.087 0.700 0.684
La: 0.087 0.887 0.403
La: 0.097 0.613 0.413
La: 0.097 0.984 0.684
La: 0.113 0.016 0.200
La: 0.113 0.597 0.913
La: 0.184 0.200 0.587
La: 0.184 0.484 0.597
La: 0.200 0.113 0.016
La: 0.200 0.587 0.184
La: 0.300 0.316 0.913
La: 0.300 0.484 0.387
La: 0.316 0.903 0.016
La: 0.316 0.913 0.300
La: 0.387 0.300 0.484
La: 0.387 0.587 0.903
La: 0.403 0.087 0.887
La: 0.403 0.816 0.516
La: 0.413 0.097 0.613
La: 0.413 0.816 0.800
La: 0.484 0.387 0.300
La: 0.484 0.597 0.184
La: 0.516 0.403 0.816
La: 0.516 0.613 0.700
La: 0.587 0.184 0.200
La: 0.587 0.903 0.387
La: 0.597 0.184 0.484
La: 0.597 0.913 0.113
La: 0.613 0.413 0.097
La: 0.613 0.700 0.516
La: 0.684 0.087 0.700
La: 0.684 0.097 0.984
La: 0.700 0.516 0.613
La: 0.700 0.684 0.087
La: 0.800 0.413 0.816
La: 0.800 0.887 0.984
La: 0.816 0.516 0.403
La: 0.816 0.800 0.413
La: 0.887 0.403 0.087
La: 0.887 0.984 0.800
La: 0.903 0.016 0.316
La: 0.903 0.387 0.587
La: 0.913 0.113 0.597
La: 0.913 0.300 0.316
La: 0.984 0.684 0.097
La: 0.984 0.800 0.887
Mn: 0.125 0.250 0.375
Mn: 0.125 0.375 0.750
Mn: 0.250 0.375 0.125
Mn: 0.250 0.875 0.625
Mn: 0.375 0.125 0.250
Mn: 0.375 0.750 0.125
Mn: 0.625 0.250 0.875
Mn: 0.625 0.875 0.750
Mn: 0.750 0.125 0.375
Mn: 0.750 0.625 0.875
Mn: 0.875 0.625 0.250
Mn: 0.875 0.750 0.625
N: 0.000 0.000 0.000
N: 0.000 0.000 0.500
N: 0.000 0.500 0.000
N: 0.000 0.500 0.500
N: 0.125 0.750 0.875
N: 0.125 0.875 0.250
N: 0.250 0.125 0.875
N: 0.250 0.625 0.375
N: 0.375 0.250 0.625
N: 0.375 0.625 0.750
N: 0.500 0.000 0.000
N: 0.500 0.000 0.500
N: 0.500 0.500 0.000
N: 0.500 0.500 0.500
N: 0.625 0.375 0.250
N: 0.625 0.750 0.375
N: 0.750 0.375 0.625
N: 0.750 0.875 0.125
N: 0.875 0.125 0.750
N: 0.875 0.250 0.125

Properties
Density of states at the Fermi level: 101.27 states/eV per cell
Formation energy without anion corrections: -0.455 eV per atom

---

8.
The following is a PBE-GGA calculation of an optimized crystal structure of LaMnN2, from Alexandria via LeMat-Bulk.

Cell: 4.088 4.088 4.088 Å, 60.00 60.00 60.00°
Element x y z (fractional)
La: 0.000 0.000 0.000
Mn: 0.500 0.500 0.500
N: 0.250 0.250 0.250
N: 0.750 0.750 0.750

Properties
Density of states at the Fermi level: 0.10 states/eV per cell
Formation energy without anion corrections: 0.186 eV per atom

---

9.
The following is a PBE-GGA calculation of an optimized crystal structure of La3Mn5N12, from Alexandria via LeMat-Bulk.

Cell: 10.852 10.852 10.852 Å, 109.48 109.48 109.48°
Element x y z (fractional)
La: 0.125 0.250 0.375
La: 0.125 0.375 0.750
La: 0.250 0.375 0.125
La: 0.250 0.875 0.625
La: 0.375 0.125 0.250
La: 0.375 0.750 0.125
La: 0.625 0.250 0.875
La: 0.625 0.875 0.750
La: 0.750 0.125 0.375
La: 0.750 0.625 0.875
La: 0.875 0.625 0.250
La: 0.875 0.750 0.625
Mn: 0.000 0.000 0.000
Mn: 0.000 0.000 0.500
Mn: 0.000 0.500 0.000
Mn: 0.000 0.500 0.500
Mn: 0.125 0.750 0.875
Mn: 0.125 0.875 0.250
Mn: 0.250 0.125 0.875
Mn: 0.250 0.625 0.375
Mn: 0.375 0.250 0.625
Mn: 0.375 0.625 0.750
Mn: 0.500 0.000 0.000
Mn: 0.500 0.000 0.500
Mn: 0.500 0.500 0.000
Mn: 0.500 0.500 0.500
Mn: 0.625 0.375 0.250
Mn: 0.625 0.750 0.375
Mn: 0.750 0.375 0.625
Mn: 0.750 0.875 0.125
Mn: 0.875 0.125 0.750
Mn: 0.875 0.250 0.125
N: 0.001 0.190 0.111
N: 0.001 0.312 0.890
N: 0.078 0.688 0.688
N: 0.078 0.889 0.389
N: 0.110 0.999 0.688
N: 0.111 0.001 0.190
N: 0.111 0.611 0.422
N: 0.111 0.611 0.922
N: 0.188 0.188 0.578
N: 0.188 0.499 0.610
N: 0.188 0.578 0.188
N: 0.190 0.111 0.001
N: 0.310 0.499 0.389
N: 0.312 0.312 0.922
N: 0.312 0.890 0.001
N: 0.312 0.922 0.312
N: 0.389 0.078 0.889
N: 0.389 0.310 0.499
N: 0.389 0.578 0.889
N: 0.390 0.812 0.501
N: 0.422 0.111 0.611
N: 0.422 0.812 0.812
N: 0.499 0.389 0.310
N: 0.499 0.610 0.188
N: 0.501 0.390 0.812
N: 0.501 0.611 0.690
N: 0.578 0.188 0.188
N: 0.578 0.889 0.389
N: 0.610 0.188 0.499
N: 0.611 0.422 0.111
N: 0.611 0.690 0.501
N: 0.611 0.922 0.111
N: 0.688 0.078 0.688
N: 0.688 0.110 0.999
N: 0.688 0.688 0.078
N: 0.690 0.501 0.611
N: 0.810 0.889 0.999
N: 0.812 0.422 0.812
N: 0.812 0.501 0.390
N: 0.812 0.812 0.422
N: 0.889 0.389 0.078
N: 0.889 0.389 0.578
N: 0.889 0.999 0.810
N: 0.890 0.001 0.312
N: 0.922 0.111 0.611
N: 0.922 0.312 0.312
N: 0.999 0.688 0.110
N: 0.999 0.810 0.889

Properties
Density of states at the Fermi level: 27.30 states/eV per cell
Formation energy without anion corrections: -0.475 eV per atom

---

10.
The following is a PBE-GGA calculation of an optimized crystal structure of La2MnN3, from Alexandria via LeMat-Bulk.

Cell: 6.152 6.152 12.012 Å, 91.64 91.64 128.32°
Element x y z (fractional)
La: 0.026 0.429 0.351
La: 0.134 0.345 0.931
La: 0.345 0.134 0.431
La: 0.429 0.026 0.851
La: 0.571 0.974 0.149
La: 0.655 0.866 0.569
La: 0.866 0.655 0.069
La: 0.974 0.571 0.649
Mn: 0.282 0.283 0.675
Mn: 0.283 0.282 0.175
Mn: 0.717 0.718 0.825
Mn: 0.718 0.717 0.325
N: 0.002 0.998 0.250
N: 0.127 0.465 0.132
N: 0.151 0.338 0.541
N: 0.338 0.151 0.041
N: 0.385 0.615 0.750
N: 0.465 0.127 0.632
N: 0.535 0.873 0.368
N: 0.615 0.385 0.250
N: 0.662 0.849 0.959
N: 0.849 0.662 0.459
N: 0.873 0.535 0.868
N: 0.998 0.002 0.750

Properties
Density of states at the Fermi level: 12.07 states/eV per cell
Formation energy without anion corrections: -1.066 eV per atom

---

11.
The following is a PBE-GGA calculation of an optimized crystal structure of La2MnN4, from Alexandria via LeMat-Bulk.

Cell: 7.304 5.531 10.046 Å, 90.00 90.00 90.00°
Element x y z (fractional)
La: 0.010 0.250 0.190
La: 0.153 0.750 0.427
La: 0.347 0.250 0.927
La: 0.490 0.750 0.690
La: 0.510 0.250 0.310
La: 0.653 0.750 0.073
La: 0.847 0.250 0.573
La: 0.990 0.750 0.810
Mn: 0.222 0.750 0.077
Mn: 0.278 0.250 0.577
Mn: 0.722 0.750 0.423
Mn: 0.778 0.250 0.923
N: 0.013 0.250 0.915
N: 0.184 0.503 0.647
N: 0.184 0.997 0.647
N: 0.198 0.250 0.412
N: 0.302 0.750 0.912
N: 0.316 0.003 0.147
N: 0.316 0.497 0.147
N: 0.487 0.750 0.415
N: 0.513 0.250 0.585
N: 0.684 0.503 0.853
N: 0.684 0.997 0.853
N: 0.698 0.250 0.088
N: 0.802 0.750 0.588
N: 0.816 0.003 0.353
N: 0.816 0.497 0.353
N: 0.987 0.750 0.085

Properties
Density of states at the Fermi level: 10.12 states/eV per cell
Formation energy without anion corrections: -1.002 eV per atom

---

12.
The following is a PBE-GGA calculation of an optimized crystal structure of La2MnN4, from Alexandria via LeMat-Bulk.

Cell: 7.018 7.018 7.018 Å, 149.02 149.02 44.39°
Element x y z (fractional)
La: 0.145 0.145 0.000
La: 0.855 0.855 0.000
Mn: 0.500 0.500 0.000
N: 0.000 0.500 0.500
N: 0.335 0.335 0.000
N: 0.500 0.000 0.500
N: 0.665 0.665 0.000

Properties
Density of states at the Fermi level: 5.10 states/eV per cell
Formation energy without anion corrections: -0.760 eV per atom

---

13.
The following is a PBE-GGA calculation of an optimized crystal structure of LaMnN2, from Alexandria via LeMat-Bulk.

Cell: 6.008 6.008 6.008 Å, 132.78 132.78 68.99°
Element x y z (fractional)
La: 0.000 0.000 0.000
La: 0.750 0.250 0.500
Mn: 0.250 0.750 0.500
Mn: 0.500 0.500 0.000
N: 0.248 0.625 0.123
N: 0.375 0.498 0.623
N: 0.502 0.125 0.877
N: 0.875 0.752 0.377

Properties
Density of states at the Fermi level: 2.82 states/eV per cell
Formation energy without anion corrections: -0.650 eV per atom

---

14.
The following is a PBE-GGA calculation of an optimized crystal structure of La2MnNbN5, from Alexandria via LeMat-Bulk.

Cell: 7.341 7.341 10.425 Å, 90.00 90.00 153.58°
Element x y z (fractional)
La: 0.118 0.882 0.500
La: 0.132 0.868 0.134
La: 0.868 0.132 0.634
La: 0.882 0.118 0.000
Mn: 0.448 0.552 0.250
Mn: 0.552 0.448 0.750
Nb: 0.205 0.795 0.837
Nb: 0.795 0.205 0.337
N: 0.035 0.965 0.819
N: 0.298 0.702 0.467
N: 0.324 0.676 0.194
N: 0.338 0.662 0.818
N: 0.499 0.501 0.596
N: 0.501 0.499 0.096
N: 0.662 0.338 0.318
N: 0.676 0.324 0.694
N: 0.702 0.298 0.967
N: 0.965 0.035 0.319

Properties
Density of states at the Fermi level: 4.43 states/eV per cell
Formation energy without anion corrections: -0.990 eV per atom

---

15.
The following is a PBE-GGA calculation of an optimized crystal structure of LaNdMnN4, from Alexandria via LeMat-Bulk.

Cell: 5.674 5.353 7.274 Å, 90.00 106.12 90.00°
Element x y z (fractional)
La: 0.220 0.250 0.032
La: 0.780 0.750 0.968
Nd: 0.264 0.250 0.545
Nd: 0.736 0.750 0.455
Mn: 0.225 0.750 0.781
Mn: 0.775 0.250 0.219
N: 0.027 0.501 0.726
N: 0.027 0.999 0.726
N: 0.361 0.750 0.024
N: 0.440 0.750 0.650
N: 0.560 0.250 0.350
N: 0.639 0.250 0.976
N: 0.973 0.001 0.274
N: 0.973 0.499 0.274

Properties
Density of states at the Fermi level: 6.53 states/eV per cell
Formation energy without anion corrections: -0.892 eV per atom